Hf6Al16Ir7 after structural relaxation, computed with GGA-PBE.

Values from the calculation:
Its calculated formation energy is -0.816 eV per atom. The total DFT energy (no corrections) comes out at -7.079 eV/atom. The calculation puts the calculated density at 10.147 Mg/m³.

Cell lengths 8.7028, 8.7028, 8.7028 Å; angles 60.00, 60.00, 60.00 degrees
With the nearest neighbours (Å) after each atom.
Element x y z (fractional)
Hf 0.6860 0.3140 0.3140  8 Al 2.84-3.17, 4 Ir 3.18
Hf 0.3140 0.6860 0.6860  8 Al 2.84-3.17, 4 Ir 3.18
Hf 0.3140 0.6860 0.3140  8 Al 2.84-3.17, 4 Ir 3.18
Hf 0.6860 0.3140 0.6860  8 Al 2.84-3.17, 4 Ir 3.18
Hf 0.3140 0.3140 0.6860  8 Al 2.84-3.17, 4 Ir 3.18
Hf 0.6860 0.6860 0.3140  8 Al 2.84-3.17, 4 Ir 3.18
Al 0.3379 0.3379 0.3379  3 Ir 2.51, 3 Al 2.78
Al 0.6621 0.6621 0.6621  3 Ir 2.51, 3 Al 2.78
Al 0.3379 0.3379 0.9864  3 Ir 2.51, 3 Al 2.78
Al 0.3379 0.9864 0.3379  3 Ir 2.51, 3 Al 2.78
Al 0.6621 0.6621 0.0136  3 Ir 2.51, 3 Al 2.78
Al 0.6621 0.0136 0.6621  3 Ir 2.51, 3 Al 2.78
Al 0.9864 0.3379 0.3379  3 Ir 2.51, 3 Al 2.78
Al 0.0136 0.6621 0.6621  3 Ir 2.51, 3 Al 2.78
Al 0.1198 0.1198 0.1198  4 Ir 2.55-2.70, 3 Al 2.78
Al 0.8802 0.8802 0.8802  4 Ir 2.55-2.70, 3 Al 2.78
Al 0.1198 0.1198 0.6407  4 Ir 2.55-2.70, 3 Al 2.78
Al 0.1198 0.6407 0.1198  4 Ir 2.55-2.70, 3 Al 2.78
Al 0.8802 0.8802 0.3593  4 Ir 2.55-2.70, 3 Al 2.78
Al 0.8802 0.3593 0.8802  4 Ir 2.55-2.70, 3 Al 2.78
Al 0.6407 0.1198 0.1198  4 Ir 2.55-2.70, 3 Al 2.78
Al 0.3593 0.8802 0.8802  4 Ir 2.55-2.70, 3 Al 2.78
Ir 0.5000 0.0000 0.0000  8 Al 2.51-2.70
Ir 0.0000 0.5000 0.5000  8 Al 2.51-2.70
Ir 0.0000 0.5000 0.0000  8 Al 2.51-2.70
Ir 0.5000 0.0000 0.5000  8 Al 2.51-2.70
Ir 0.0000 0.0000 0.5000  8 Al 2.51-2.70
Ir 0.5000 0.5000 0.0000  8 Al 2.51-2.70
Ir 0.0000 0.0000 0.0000  8 Al 2.55

---

ScInRe after structural relaxation, computed with GGA-PBE.

Values from the calculation:
Its calculated formation energy is 0.165 eV per atom. The total DFT energy (no corrections) comes out at -7.007 eV/atom. The calculation puts the calculated density at 9.952 Mg/m³. As for the offset from the most stable computed form: 119 meV per atom.

Cell lengths 6.8137, 6.8137, 6.8137 Å; angles 154.69, 154.69, 36.09 degrees
With the nearest neighbours (Å) after each atom.
Element x y z (fractional)
In 0.9886 0.9886 0.0000  4 Re 2.95, 4 In 2.99, 4 Sc 3.27
Re 0.3299 0.3299 0.0000  4 Sc 2.86, 4 In 2.95, 4 Re 2.99
Sc 0.6815 0.6815 0.0000  4 Re 2.86, 4 Sc 2.99

---

YEr2Tm4 after structural relaxation, computed with GGA-PBE.

Values from the calculation:
Its calculated formation energy is 0.076 eV per atom. The total DFT energy (no corrections) comes out at -4.707 eV/atom. The calculation puts the calculated density at 8.451 Mg/m³. As for the offset from the most stable computed form: 0 meV per atom.

Cell lengths 8.6157, 10.0205, 9.3758 Å; angles 144.20, 97.22, 97.24 degrees
With the nearest neighbours (Å) after each atom.
Element x y z (fractional)
Y 0.1844 0.8603 0.8663  8 Tm 3.40-3.67, 3 Er 3.60-3.72, 1 Y 3.70
Y 0.0290 0.4253 0.1682  4 Tm 3.12-3.41, 3 Er 3.34-3.48
Er 0.6948 0.2058 0.7192  1 Y 3.34, 8 Tm 3.41-3.57, 3 Er 3.47-3.74
Er 0.5546 0.8625 0.0959  8 Tm 3.40-3.61, 3 Er 3.47-3.62, 1 Y 3.60
Er 0.6256 0.1871 0.0660  8 Tm 3.33-3.55, 2 Y 3.47-3.72, 2 Er 3.47-3.52
Er 0.1367 0.5408 0.9222  8 Tm 3.40-3.66, 2 Y 3.48-3.62, 2 Er 3.62-3.74
Tm 0.9726 0.1830 0.2858  3 Y 3.39-3.67, 5 Tm 3.40-3.66, 3 Er 3.44-3.56
Tm 0.4964 0.5661 0.1521  6 Tm 3.28-3.62, 5 Er 3.40-3.55
Tm 0.7661 0.5311 0.6926  5 Er 3.40-3.61, 6 Tm 3.40-3.57, 1 Y 3.65
Tm 0.8190 0.8199 0.6272  5 Tm 3.28-3.66, 2 Y 3.29-3.40, 3 Er 3.42-3.57
Tm 0.3468 0.2104 0.5033  5 Tm 3.35-3.62, 5 Er 3.41-3.62, 1 Y 3.55
Tm 0.2983 0.9595 0.6070  2 Y 3.12-3.48, 3 Tm 3.28-3.41, 2 Er 3.33-3.41
Tm 0.4068 0.5343 0.4722  3 Y 3.41-3.65, 6 Tm 3.43-3.81, 3 Er 3.48-3.54
Tm 0.9189 0.8639 0.3222  6 Tm 3.41-3.76, 5 Er 3.42-3.66, 1 Y 3.66

---

MgReRu2 after structural relaxation, computed with GGA-PBE.

Values from the calculation:
Its calculated formation energy is 0.591 eV per atom. The total DFT energy (no corrections) comes out at -7.557 eV/atom. The calculation puts the calculated density at 9.866 Mg/m³.

Cell lengths 7.1228, 7.1228, 5.7326 Å; angles 51.59, 51.59, 90.00 degrees
With the nearest neighbours (Å) after each atom.
Element x y z (fractional)
Re 0.0000 0.0000 0.0000  4 Ru 2.40
Re 0.7500 0.2500 0.5000  4 Ru 2.40
Mg 0.5000 0.5000 0.0000  2 Re 2.74, 4 Ru 2.84
Mg 0.2500 0.7500 0.5000  2 Re 2.74, 4 Ru 2.84
Ru 0.6710 0.1250 0.2500  2 Re 2.40
Ru 0.0790 0.6250 0.2500  2 Re 2.40
Ru 0.3750 0.3290 0.7500  2 Re 2.40
Ru 0.8750 0.9210 0.7500  2 Re 2.40

---

Cr2SbBr after structural relaxation, computed with GGA-PBE.

Values from the calculation:
The total DFT energy (no corrections) comes out at -6.110 eV/atom. Its energy relative to the elements, uncorrected is 151 meV/atom. The calculation puts the calculated density at 5.155 Mg/m³. As for the offset from the most stable computed form: 74 meV per atom.

Cell lengths 3.6521, 3.6818, 7.3221 Å; angles 90.04, 90.00, 90.00 degrees
With the nearest neighbours (Å) after each atom.
Element x y z (fractional)
Br 0.5000 0.8746 0.8615  4 Cr 2.63
Cr 0.0000 0.8750 0.1198  4 Cr 2.59, 2 Br 2.63, 2 Sb 2.76
Cr 0.5000 0.3750 0.1180  4 Cr 2.59, 2 Br 2.63, 2 Sb 2.76
Sb 0.0000 0.3754 0.4007  4 Cr 2.76

---

SrNd4Cd5 after structural relaxation, computed with GGA-PBE.

Values from the calculation:
Its calculated formation energy is -0.321 eV per atom. The total DFT energy (no corrections) comes out at -2.853 eV/atom. The calculation puts the calculated density at 6.896 Mg/m³.

Cell lengths 3.8818, 3.8818, 19.6033 Å; angles 90.00, 90.00, 90.00 degrees
With the nearest neighbours (Å) after each atom.
Element x y z (fractional)
Sr 0.0000 0.0000 0.0000  8 Cd 3.52, 4 Sr 3.88
Nd 0.0000 0.0000 0.2071  8 Cd 3.31-3.35
Nd 0.0000 0.0000 0.4022  8 Cd 3.34-3.35
Nd 0.0000 0.0000 0.5978  8 Cd 3.34-3.35
Nd 0.0000 0.0000 0.7929  8 Cd 3.31-3.35
Cd 0.5000 0.5000 0.1125  4 Nd 3.31, 4 Sr 3.52
Cd 0.5000 0.5000 0.3050  8 Nd 3.34-3.35
Cd 0.5000 0.5000 0.5000  8 Nd 3.35
Cd 0.5000 0.5000 0.6950  8 Nd 3.34-3.35
Cd 0.5000 0.5000 0.8875  4 Nd 3.31, 4 Sr 3.52

---

Which of these has the highest calculated density? Hf6Al16Ir7